Entry 1:
VASP calculation (PBE) on crystalline LaP3Ru at its relaxed geometry.

a = 4.6654 Å, b = 4.6654 Å, c = 4.6654 Å
α = 90.00°, β = 90.00°, γ = 90.00°
With the nearest neighbours (Å) after each atom.
Element x y z (fractional)
1 La 0.0000 0.0000 0.0000  12 P 3.30
2 P 0.0000 0.5000 0.5000  2 Ru 2.33
3 P 0.5000 0.0000 0.5000  2 Ru 2.33
4 P 0.5000 0.5000 0.0000  2 Ru 2.33
5 Ru 0.5000 0.5000 0.5000  6 P 2.33

Values from the calculation:
Energy of formation: -0.26 eV per atom
Theoretical density: 5.44 g cm⁻³
Space-group type: Pm-3m (221)
E_tot: -6.343 eV per atom

Entry 2:
VASP calculation (PBE) on crystalline ZrAlMo4 at its relaxed geometry.

a = 5.3777 Å, b = 5.3777 Å, c = 8.4409 Å
α = 90.00°, β = 90.00°, γ = 120.00°
With the nearest neighbours (Å) after each atom.
Element x y z (fractional)
1 Zr 0.3333 0.6667 0.4380  12 Mo 3.10-3.16, 1 Al 3.10, 3 Zr 3.28
2 Zr 0.6667 0.3333 0.5620  12 Mo 3.10-3.16, 1 Al 3.10, 3 Zr 3.28
3 Al 0.3333 0.6667 0.0704  12 Mo 3.02-3.16, 1 Zr 3.10, 3 Al 3.32
4 Al 0.6667 0.3333 0.9296  12 Mo 3.02-3.16, 1 Zr 3.10, 3 Al 3.32
5 Mo 0.0000 0.0000 0.0000  6 Mo 2.59
6 Mo 0.0000 0.0000 0.5000  6 Mo 2.71
7 Mo 0.1721 0.3443 0.7594  6 Mo 2.59-2.78
8 Mo 0.1721 0.8279 0.7594  6 Mo 2.59-2.78
9 Mo 0.3443 0.1721 0.2406  6 Mo 2.59-2.78
10 Mo 0.6557 0.8279 0.7594  6 Mo 2.59-2.78
11 Mo 0.8279 0.1721 0.2406  6 Mo 2.59-2.78
12 Mo 0.8279 0.6557 0.2406  6 Mo 2.59-2.78

Values from the calculation:
Energy of formation: 0.04 eV per atom
Theoretical density: 7.89 g cm⁻³
Space-group type: P-3m1 (164)
E_tot: -9.226 eV per atom

Entry 3:
VASP calculation (PBE) on crystalline CsPRhAu at its relaxed geometry.

a = 3.9544 Å, b = 3.9544 Å, c = 13.2866 Å
α = 90.00°, β = 90.00°, γ = 90.00°
With the nearest neighbours (Å) after each atom.
Element x y z (fractional)
1 Cs 0.2500 0.2500 0.2309  4 P 3.63, 4 Au 3.65, 4 Cs 3.95
2 Cs 0.7500 0.7500 0.7691  4 P 3.63, 4 Au 3.65, 4 Cs 3.95
3 P 0.2500 0.2500 0.5954  4 Rh 2.35
4 P 0.7500 0.7500 0.4046  4 Rh 2.35
5 Rh 0.2500 0.7500 0.5000  4 P 2.35
6 Rh 0.7500 0.2500 0.5000  4 P 2.35
7 Au 0.2500 0.7500 0.0000  4 Au 2.80
8 Au 0.7500 0.2500 0.0000  4 Au 2.80

Values from the calculation:
Energy of formation: -0.54 eV per atom
Theoretical density: 7.41 g cm⁻³
Space-group type: P4/nmm (129)
E_tot: -4.765 eV per atom